[1]
Compound: Er3TmSc3
Source: the Alexandria database
Functional: PBE
Structure: optimized geometry

Results
E_form: 13 kJ/mol of formula units
SG: No. 176
electronic total energy: -5.2892 eV per atom
excess energy over the best structure of this formula in the dataset: 0.0 meV per atom

Structure (POSCAR):
```
Er3TmSc3
1.0
9.161 0.000 0.000
-4.581 7.934 0.000
0.000 0.000 5.400
Er Tm Sc
6 2 6
direct
0.047 0.803 0.250
0.197 0.244 0.250
0.244 0.047 0.750
0.756 0.953 0.250
0.803 0.756 0.750
0.953 0.197 0.750
0.333 0.667 0.250
0.667 0.333 0.750
0.096 0.615 0.750
0.385 0.481 0.750
0.481 0.096 0.250
0.519 0.904 0.750
0.615 0.519 0.250
0.904 0.385 0.250
```



[2]
Compound: FePd
Source: the Alexandria database
Functional: PBE
Structure: optimized geometry

Results
E_form: 36 kJ/mol of formula units
SG: No. 176
electronic total energy: -6.6421 eV per atom

Structure (POSCAR):
```
FePd
1.0
8.880 0.000 0.000
-4.440 7.690 0.000
0.000 0.000 2.656
Fe Pd
6 6
direct
0.150 0.533 0.250
0.383 0.850 0.250
0.467 0.617 0.250
0.533 0.383 0.750
0.617 0.150 0.750
0.850 0.467 0.750
0.055 0.759 0.250
0.241 0.296 0.250
0.296 0.055 0.750
0.704 0.945 0.250
0.759 0.704 0.750
0.945 0.241 0.750
```



[3]
Compound: ZrZnTe
Source: the Alexandria database
Functional: PBE
Structure: optimized geometry

Results
formation energy (no corrections): -0.442 eV/atom
SG: No. 129
electronic total energy: -4.7629 eV per atom
excess energy over the best structure of this formula in the dataset: 0.0 meV per atom

Structure (POSCAR):
```
ZrZnTe
1.0
3.928 0.000 0.000
0.000 3.928 0.000
0.000 0.000 8.582
Zr Zn Te
2 2 2
direct
0.250 0.250 0.240
0.750 0.750 0.760
0.250 0.750 0.500
0.750 0.250 0.500
0.250 0.250 0.871
0.750 0.750 0.129
```



[4]
Compound: Ac3Mg7Tl4
Source: the Alexandria database
Functional: PBE
Structure: optimized geometry

Results
E_form: -331 kJ/mol of formula units
SG: No. 12
electronic total energy: -2.5985 eV per atom

Structure (POSCAR):
```
Ac3Mg7Tl4
1.0
9.083 -2.477 0.000
9.083 2.477 0.000
-6.334 0.000 8.793
Ac Mg Tl
3 7 4
direct
0.000 0.000 0.000
0.300 0.300 0.298
0.700 0.700 0.702
0.000 0.000 0.500
0.152 0.152 0.426
0.334 0.334 0.982
0.496 0.496 0.688
0.504 0.504 0.312
0.666 0.666 0.018
0.848 0.848 0.574
0.132 0.132 0.850
0.348 0.348 0.727
0.652 0.652 0.273
0.868 0.868 0.150
```



Calculated density in Mg/m³, matching the order above: 6.82, 8.91, 7.13, 7.00